Below is a crystal of KLiCd2 relaxed with PBEsol, with properties calculated at the SCAN level.

Results
Its crystal system is orthorhombic. The calculation puts the magnetization at 0.00 μB/f.u. The value obtained for the formation energy is -0.02 eV/atom.

Unit cell a=6.6142 b=6.6142 c=6.6142 alpha=152.14 beta=127.23 gamma=60.72
Fractional coordinates of all 4 atoms:
K  0.0000  0.0000  0.0000
Li  0.2941  0.7941  0.5000
Cd  0.5030  0.5030  0.0000
Cd  0.7221  0.2221  0.5000



Below is a crystal of CaSb2H2 relaxed with PBEsol, with properties calculated at the SCAN level.

Results
Its crystal system is tetragonal. The calculation puts the magnetization at 0.00 μB/f.u. As for the uncorrected energy: -92.87 eV for the cell shown.

Unit cell a=5.8865 b=5.8865 c=5.8865 alpha=136.61 beta=136.61 gamma=63.04
Fractional coordinates of all 5 atoms:
Ca  0.0000  0.0000  0.0000
Sb  0.2500  0.7500  0.5000
Sb  0.7500  0.2500  0.5000
H  0.4609  0.4609  0.0000
H  0.5391  0.5391  0.0000



Below is a crystal of KFeSe3 relaxed with PBEsol, with properties calculated at the SCAN level.

Results
Its crystal system is cubic. The calculation puts the magnetization at 2.16 μB/f.u. As for the uncorrected energy: -79.80 eV for the cell shown.

Unit cell a=5.3615 b=5.3615 c=5.3615 alpha=90.00 beta=90.00 gamma=90.00
Fractional coordinates of all 5 atoms:
K  0.0000  0.0000  0.0000
Fe  0.5000  0.5000  0.5000
Se  0.0000  0.0000  0.5000
Se  0.0000  0.5000  0.0000
Se  0.5000  0.0000  0.0000



Below is a crystal of MnCoAu2 relaxed with PBEsol, with properties calculated at the SCAN level.

Results
Its crystal system is cubic. The calculation puts the magnetization at 5.78 μB/f.u. The value obtained for the formation energy is -0.16 eV/atom.

Unit cell a=4.3528 b=4.3528 c=4.3528 alpha=60.00 beta=60.00 gamma=60.00
Fractional coordinates of all 4 atoms:
Mn  0.0000  0.0000  0.0000
Co  0.7500  0.7500  0.7500
Au  0.2500  0.2500  0.2500
Au  0.5000  0.5000  0.5000



Below is a crystal of MgRh3 relaxed with PBEsol, with properties calculated at the SCAN level.

Results
Its crystal system is orthorhombic. The calculation puts the magnetization at 0.00 μB/f.u. The value obtained for the formation energy is -0.22 eV/atom.

Unit cell a=4.4185 b=5.4317 c=4.6790 alpha=90.00 beta=90.00 gamma=90.00
Fractional coordinates of all 8 atoms:
Mg  0.2500  0.2500  0.1589
Mg  0.7500  0.7500  0.8411
Rh  0.2500  0.5028  0.6618
Rh  0.2500  0.7500  0.1680
Rh  0.2500  0.9972  0.6618
Rh  0.7500  0.0028  0.3382
Rh  0.7500  0.2500  0.8320
Rh  0.7500  0.4972  0.3382



Below is a crystal of HgRuBr2 relaxed with PBEsol, with properties calculated at the SCAN level.

Results
Its crystal system is trigonal. The calculation puts the magnetization at 0.00 μB/f.u. As for the uncorrected energy: -142.45 eV for the cell shown.

Unit cell a=8.9255 b=8.9255 c=8.9255 alpha=23.85 beta=23.85 gamma=23.85
Fractional coordinates of all 4 atoms:
Hg  0.0000  0.0000  0.0000
Ru  0.5000  0.5000  0.5000
Br  0.2167  0.2167  0.2167
Br  0.7833  0.7833  0.7833



Below is a crystal of SrAlFe2 relaxed with PBEsol, with properties calculated at the SCAN level.

Results
Its crystal system is orthorhombic. The calculation puts the magnetization at 4.78 μB/f.u. The value obtained for the formation energy is 0.70 eV/atom.

Unit cell a=4.7612 b=4.7612 c=2.9282 alpha=90.00 beta=90.00 gamma=90.12
Fractional coordinates of all 4 atoms:
Sr  0.0000  0.0000  0.0000
Al  0.5000  0.5000  0.0000
Fe  0.0000  0.5000  0.5000
Fe  0.5000  0.0000  0.5000



Below is a crystal of HfCrSe2 relaxed with PBEsol, with properties calculated at the SCAN level.

Results
Its crystal system is cubic. The calculation puts the magnetization at 3.44 μB/f.u. As for the uncorrected energy: -123.36 eV for the cell shown.

Unit cell a=4.5457 b=4.5457 c=4.5457 alpha=60.00 beta=60.00 gamma=60.00
Fractional coordinates of all 4 atoms:
Hf  0.0000  0.0000  0.0000
Cr  0.5000  0.5000  0.5000
Se  0.2500  0.2500  0.2500
Se  0.7500  0.7500  0.7500



Copy entry 2 word for word.
Below is a crystal of CaSb2H2 relaxed with PBEsol, with properties calculated at the SCAN level.

Results
Its crystal system is tetragonal. The calculation puts the magnetization at 0.00 μB/f.u. As for the uncorrected energy: -92.87 eV for the cell shown.

Unit cell a=5.8865 b=5.8865 c=5.8865 alpha=136.61 beta=136.61 gamma=63.04
Fractional coordinates of all 5 atoms:
Ca  0.0000  0.0000  0.0000
Sb  0.2500  0.7500  0.5000
Sb  0.7500  0.2500  0.5000
H  0.4609  0.4609  0.0000
H  0.5391  0.5391  0.0000